# 1
VASP calculation (PBE) on a relaxed structure of Sr4GeTe5.

Properties
- formation energy from raw total energies (kJ/mol of formula units) = -1326
- mass density (g cm⁻³) = 4.83
- calculated total energy (eV per atom) = -4.08

a = 6.6830 Å, b = 8.1088 Å, c = 8.1088 Å
α = 80.22°, β = 65.66°, γ = 65.66°
Last column: nearest neighbours and their distance in Å.
Fractional positions:
Sr 0.4025 0.3983 0.7964  6 Te 3.31-3.43
Te 0.7149 0.1907 0.3819  1 Ge 3.17, 5 Sr 3.31-3.43
Te 0.0968 0.6181 0.1907  1 Ge 3.17, 5 Sr 3.31-3.43
Te 0.4616 0.0000 0.0000  1 Ge 2.79
Sr 0.8009 0.7964 0.6017  6 Te 3.31-3.43
Sr 0.1990 0.2036 0.3983  6 Te 3.31-3.43
Te 0.2875 0.8093 0.6181  1 Ge 3.17, 5 Sr 3.31-3.43
Sr 0.5973 0.6017 0.2036  6 Te 3.31-3.43
Te 0.9056 0.3819 0.8093  1 Ge 3.17, 5 Sr 3.31-3.43
Ge 0.0442 0.0000 0.0000  1 Te 2.79



# 2
VASP calculation (PBE) on a relaxed structure of VB2W4.

Properties
- energy relative to the elements (eV/f.u.) = 1.84
- mass density (g cm⁻³) = 14.00
- calculated total energy (eV per atom) = -10.35

a = 4.1601 Å, b = 4.1601 Å, c = 6.8283 Å
α = 72.26°, β = 72.26°, γ = 60.00°
Last column: nearest neighbours and their distance in Å.
Fractional positions:
W 0.6152 0.6152 0.1545  3 V 2.60, 3 B 2.64, 3 W 2.65
B 0.8911 0.8911 0.3268  1 V 2.09, 1 W 2.19
B 0.1089 0.1089 0.6732  1 V 2.09, 1 W 2.19
V 0.0000 0.0000 0.0000  2 B 2.09
W 0.7766 0.7766 0.6701  4 B 2.19-2.40
W 0.2234 0.2234 0.3299  4 B 2.19-2.40
W 0.3848 0.3848 0.8455  3 V 2.60, 3 B 2.64, 3 W 2.65